## YU2Se4 (GGA-PBE)

Data for a relaxed YU2Se4 crystal.

Summary:
As for the spin magnetization: 0.81 μB per atom. Its density is 7.8 g cm⁻³. The density of states at the Fermi level is 18.7 states/eV per cell. For the excess energy over the best structure of this formula in the dataset, the calculation gives 0 meV per atom. The value obtained for the volume is 26.93 A^3/atom. The space group is No. 74. The value obtained for the total energy is -7.475 eV per atom.

Lattice parameters (Å, degrees): 8.1084 8.0966 8.0966 60.50 59.95 59.95
Fractional positions:
Se (0.2578, 0.2435, 0.2409)
Se (0.7469, 0.2503, 0.7503)
Se (0.2524, 0.2503, 0.7503)
Se (0.2578, 0.7409, 0.7435)
Se (0.7422, 0.2591, 0.2565)
Se (0.7422, 0.7565, 0.7591)
Se (0.7476, 0.7497, 0.2497)
Se (0.2531, 0.7497, 0.2497)
U (0.5000, 0.0000, 0.5000)
U (0.0000, 0.5000, 0.5000)
U (0.0000, 0.0000, 0.0000)
U (0.0000, 0.0000, 0.5000)
Y (0.5000, 0.5000, 0.0000)
Y (0.0000, 0.5000, 0.0000)